No. 1
Material: Ga3As
Method: DFT, PBE
State: optimized geometry

Computed properties:
The total energy comes out at -13.4 eV per cell. For the formation enthalpy at 0 K, the calculation gives 71.4 meV per atom.

a = 2.980 Å, b = 5.114 Å, c = 5.902 Å
α = 115.67°, β = 104.62°, γ = 90.00°
Fractional coordinates of all 4 atoms:
As (0.000, 0.919, 0.000)
Ga (0.260, 0.674, 0.519)
Ga (0.500, 0.420, 0.000)
Ga (0.740, 0.154, 0.481)

No. 2
Material: GaAs
Method: DFT, PBE
State: optimized geometry

Computed properties:
The total energy comes out at -48.4 eV per cell. For the formation enthalpy at 0 K, the calculation gives -199.2 meV per atom.

a = 7.085 Å, b = 7.085 Å, c = 7.085 Å
α = 90.00°, β = 90.00°, γ = 90.00°
Fractional coordinates of all 12 atoms:
Ga (0.250, 0.000, 0.500)
Ga (0.750, 0.000, 0.500)
Ga (0.000, 0.500, 0.250)
Ga (0.000, 0.500, 0.750)
Ga (0.500, 0.250, 0.000)
Ga (0.500, 0.750, 0.000)
As (0.250, 0.500, 0.000)
As (0.750, 0.500, 0.000)
As (0.500, 0.000, 0.250)
As (0.500, 0.000, 0.750)
As (0.000, 0.250, 0.500)
As (0.000, 0.750, 0.500)

- Among the records above, which one has the lowest formation enthalpy at 0 K?
  GaAs